# 1
An optimized crystal structure of Y6TlCo2. Source: the Open Quantum Materials Database, functional GGA-PBE.

Geometry as extended XYZ:
```
18
Lattice="2.918 -7.725 1.650 -8.312 -0.692 -1.160 3.808 3.113 -6.836" Properties=species:S:1:pos:R:3 pbc="T T T"
Co 2.570 -1.762 -1.981
Co 1.263 -5.583 -2.402
Co -2.849 0.279 -3.944
Co 4.156 -2.850 -3.204
Tl 0.000 0.000 0.000
Tl -2.697 -4.209 0.245
Y 0.359 -6.163 0.311
Y 0.187 -2.913 -0.987
Y -2.727 -7.461 -0.723
Y -3.063 -1.918 -2.267
Y -5.059 -5.033 -2.086
Y -0.042 -0.164 -3.279
Y -1.544 -5.141 -3.066
Y 3.473 -0.271 -4.260
Y 1.477 -3.386 -4.078
Y 1.141 2.157 -5.623
Y -1.773 -2.391 -5.358
Y -1.945 0.859 -6.657
```

Output
Electronic total energy = -6.3962 eV/atom

=====

# 2
An optimized crystal structure of Tm2Co7. Source: the Open Quantum Materials Database, functional GGA-PBE.

Geometry as extended XYZ:
```
18
Lattice="-8.866 -1.315 8.342 -4.972 -0.396 11.183 -7.447 3.314 9.137" Properties=species:S:1:pos:R:3 pbc="T T T"
Co -6.919 -0.855 9.762
Co -9.258 -0.688 12.915
Co -5.924 0.446 7.978
Co -12.742 -0.038 15.348
Co -10.782 0.424 16.777
Co -8.279 0.624 11.149
Co -8.156 1.000 8.740
Co -6.209 1.459 10.160
Co -10.642 0.802 14.331
Co -13.006 0.980 17.513
Co -10.503 1.179 11.885
Co -8.543 1.642 13.315
Co -15.361 1.157 20.685
Co -12.027 2.292 15.748
Tm -1.098 0.083 1.479
Tm -3.154 0.238 4.248
Tm -18.131 1.366 24.415
Tm -20.187 1.521 27.183
```

Output
Energy relative to the elements = -1.7 eV/f.u.

=====

# 3
An optimized crystal structure of Tm3Co. Source: the Open Quantum Materials Database, functional GGA-PBE.

Geometry as extended XYZ:
```
4
Lattice="0.838 -2.622 5.164 3.228 2.913 3.917 -4.576 1.199 -3.446" Properties=species:S:1:pos:R:3 pbc="T T T"
Co 0.000 0.000 0.000
Tm 2.033 0.146 4.541
Tm -0.852 -0.638 3.130
Tm 0.342 2.129 2.506
```

Output
Energy relative to the elements = 1.1 eV/f.u.

=====

# 4
An optimized crystal structure of Tm3Co2. Source: the Open Quantum Materials Database, functional GGA-PBE.

Geometry as extended XYZ:
```
10
Lattice="-6.539 0.000 0.000 3.269 -5.663 0.000 -3.269 1.888 5.984" Properties=species:S:1:pos:R:3 pbc="T T T"
Co 0.000 -3.775 0.208
Co 0.000 -3.775 2.784
Co -6.539 0.000 3.201
Co -6.539 0.000 5.776
Tm -2.107 -0.125 1.496
Tm -5.377 -1.762 1.496
Tm -2.324 -3.775 1.496
Tm -4.214 0.000 4.488
Tm -1.162 -2.013 4.488
Tm -4.432 -3.650 4.488
```

Output
Energy relative to the elements = -0.7 eV/f.u.

=====

# 5
An optimized crystal structure of Tm3Co. Source: the Open Quantum Materials Database, functional GGA-PBE.

Geometry as extended XYZ:
```
8
Lattice="-3.783 5.715 -0.724 -2.534 -6.087 -2.006 -1.736 -0.630 4.104" Properties=species:S:1:pos:R:3 pbc="T T T"
Co -3.801 1.624 -0.125
Co -4.253 -2.625 1.499
Tm -2.060 -1.344 0.156
Tm -3.198 -4.076 -0.744
Tm -4.896 -1.511 -1.069
Tm -3.158 0.509 2.444
Tm -4.856 3.075 2.119
Tm -5.994 0.343 1.218
```

Output
Energy relative to the elements = 0.5 eV/f.u.

=====

# 6
An optimized crystal structure of Tm3Co. Source: the Open Quantum Materials Database, functional GGA-PBE.

Geometry as extended XYZ:
```
16
Lattice="-0.121 3.435 5.949 1.783 -7.770 4.523 6.006 1.085 -0.504" Properties=species:S:1:pos:R:3 pbc="T T T"
Co 1.528 -3.674 7.017
Co 4.061 -4.945 3.835
Co 3.607 1.695 6.133
Co 6.139 0.424 2.951
Tm 1.268 -1.654 1.303
Tm 2.026 -3.094 4.405
Tm 2.681 -5.948 6.066
Tm 2.857 -1.216 7.305
Tm 3.512 -4.069 8.966
Tm 2.556 0.308 4.164
Tm 5.111 -3.558 5.804
Tm 4.156 0.819 1.002
Tm 4.810 -2.034 2.664
Tm 4.986 2.698 3.902
Tm 5.641 -0.155 5.563
Tm 6.400 -1.596 8.665
```

Output
Energy relative to the elements = -0.8 eV/f.u.

=====

# 7
An optimized crystal structure of Tm3Co2. Source: the Open Quantum Materials Database, functional GGA-PBE.

Geometry as extended XYZ:
```
10
Lattice="-5.087 1.284 -4.218 -4.981 -2.475 -3.792 -2.802 0.901 8.636" Properties=species:S:1:pos:R:3 pbc="T T T"
Co -3.381 -0.079 0.140
Co -5.680 -0.230 -0.628
Co -7.190 -0.059 1.254
Co -9.490 -0.211 0.487
Tm -9.068 -0.913 -5.809
Tm -6.627 -0.561 -3.312
Tm -2.727 0.288 3.210
Tm -10.143 -0.578 -2.584
Tm -6.243 0.272 3.938
Tm -3.802 0.623 6.435
```

Output
Energy relative to the elements = -1.2 eV/f.u.

=====

# 8
An optimized crystal structure of Tm8Co. Source: the Open Quantum Materials Database, functional GGA-PBE.

Geometry as extended XYZ:
```
9
Lattice="-5.804 2.430 -6.281 -2.803 -1.491 8.305 0.566 3.440 0.808" Properties=species:S:1:pos:R:3 pbc="T T T"
Co 0.000 0.000 0.000
Tm -3.574 1.497 -3.868
Tm -3.307 0.361 0.778
Tm -1.726 -0.918 5.114
Tm -1.084 2.292 -1.075
Tm -0.377 1.369 2.359
Tm -4.521 2.843 -1.015
Tm -3.520 1.536 3.847
Tm -6.298 2.438 1.951
```

Output
Energy relative to the elements = -0.4 eV/f.u.

=====

# 9
An optimized crystal structure of Tm2Co. Source: the Open Quantum Materials Database, functional GGA-PBE.

Geometry as extended XYZ:
```
6
Lattice="0.000 4.116 4.116 4.116 0.000 4.116 4.116 4.116 0.000" Properties=species:S:1:pos:R:3 pbc="T T T"
Co 0.000 0.000 0.000
Co 2.058 2.058 2.058
Tm 3.087 3.087 5.145
Tm 3.087 5.145 3.087
Tm 5.145 3.087 3.087
Tm 5.145 5.145 5.145
```

Output
Energy relative to the elements = 3.3 eV/f.u.

=====

# 10
An optimized crystal structure of Tm3Co. Source: the Open Quantum Materials Database, functional GGA-PBE.

Geometry as extended XYZ:
```
4
Lattice="0.000 3.633 3.633 3.633 0.000 3.633 3.633 3.633 0.000" Properties=species:S:1:pos:R:3 pbc="T T T"
Co 5.449 5.449 5.449
Tm 0.000 0.000 0.000
Tm 1.816 1.816 1.816
Tm 3.633 3.633 3.633
```

Output
Energy relative to the elements = 1.0 eV/f.u.

=====

# 11
An optimized crystal structure of Tm2Co. Source: the Open Quantum Materials Database, functional GGA-PBE.

Geometry as extended XYZ:
```
6
Lattice="3.899 2.251 6.367 -3.899 2.251 6.367 0.000 -4.502 6.367" Properties=species:S:1:pos:R:3 pbc="T T T"
Co 0.000 0.000 4.775
Co 0.000 0.000 9.550
Tm 0.000 0.000 7.162
Tm 1.949 1.125 10.346
Tm -1.949 1.125 10.346
Tm 0.000 -2.251 10.346
```

Output
Energy relative to the elements = 3.1 eV/f.u.

=====

# 12
An optimized crystal structure of TmCoW. Source: the Open Quantum Materials Database, functional GGA-PBE.

Geometry as extended XYZ:
```
3
Lattice="-1.305 -1.088 4.091 -3.021 2.474 2.092 -4.080 -1.587 0.674" Properties=species:S:1:pos:R:3 pbc="T T T"
Co -2.102 -0.050 1.714
Tm 0.000 0.000 0.000
W -6.305 -0.151 5.143
```

Output
Energy relative to the elements = 5.2 eV/f.u.